Record 1
# La2CuSn4Rh3

A relaxed structure of La2CuSn4Rh3 (PBE-GGA, Alexandria via LeMat-Bulk).

- Raw total energy: -5.88 eV/atom
- E_form: -0.6747 eV per atom
- Crystal system: tetragonal

Cell lengths 4.6274, 4.6274, 10.4477 Å; angles 90.00, 90.00, 90.00 degrees
With the nearest neighbours (Å) after each atom.
Element x y z (fractional)
La  0.0000  0.5000  0.2449  2 Cu 3.45, 6 Rh 3.45-3.53, 9 Sn 3.51-3.85
La  0.5000  0.0000  0.7551  2 Cu 3.45, 6 Rh 3.45-3.53, 9 Sn 3.51-3.85
Cu  0.5000  0.5000  0.0000  4 Sn 2.65
Sn  0.0000  0.0000  0.5000  4 Rh 2.67
Sn  0.0000  0.5000  0.8765  3 Rh 2.59-2.65, 2 Cu 2.65
Sn  0.5000  0.0000  0.1235  3 Rh 2.59-2.65, 2 Cu 2.65
Sn  0.5000  0.5000  0.5000  4 Rh 2.67
Rh  0.0000  0.0000  0.0000  4 Sn 2.65
Rh  0.0000  0.5000  0.6282  5 Sn 2.59-2.67
Rh  0.5000  0.0000  0.3718  5 Sn 2.59-2.67

---

Record 2
# LaCuSnRh2

A relaxed structure of LaCuSnRh2 (PBE-GGA, Alexandria via LeMat-Bulk).

- Raw total energy: -5.25 eV/atom
- E_form: 0.2937 eV per atom
- Crystal system: tetragonal

Cell lengths 4.7465, 4.7465, 4.9579 Å; angles 90.00, 90.00, 90.00 degrees
With the nearest neighbours (Å) after each atom.
Element x y z (fractional)
La  0.0000  0.0000  0.0000  2 Cu 2.48
Cu  0.0000  0.0000  0.5000  4 Rh 2.37, 2 La 2.48
Sn  0.5000  0.5000  0.0000  4 La 3.36, 8 Rh 3.43
Rh  0.0000  0.5000  0.5000  2 Cu 2.37
Rh  0.5000  0.0000  0.5000  2 Cu 2.37

---

Record 3
# La2Cu3Sn4Rh

A relaxed structure of La2Cu3Sn4Rh (PBE-GGA, Alexandria via LeMat-Bulk).

- Raw total energy: -5.07 eV/atom
- E_form: -0.5187 eV per atom
- Crystal system: tetragonal

Cell lengths 4.5656, 4.5656, 10.6036 Å; angles 90.00, 90.00, 90.00 degrees
With the nearest neighbours (Å) after each atom.
Element x y z (fractional)
La  0.0000  0.5000  0.2382  2 Rh 3.40, 6 Cu 3.40-3.51, 8 Sn 3.44-3.59
La  0.5000  0.0000  0.7618  2 Rh 3.40, 6 Cu 3.40-3.51, 8 Sn 3.44-3.59
Cu  0.0000  0.0000  0.0000  4 Sn 2.64
Cu  0.0000  0.5000  0.6320  5 Sn 2.57-2.68
Cu  0.5000  0.0000  0.3680  5 Sn 2.57-2.68
Sn  0.0000  0.0000  0.5000  4 Cu 2.68
Sn  0.0000  0.5000  0.8740  3 Cu 2.57-2.64, 2 Rh 2.64
Sn  0.5000  0.0000  0.1260  3 Cu 2.57-2.64, 2 Rh 2.64
Sn  0.5000  0.5000  0.5000  4 Cu 2.68
Rh  0.5000  0.5000  0.0000  4 Sn 2.64

---

E_form of number 2 (LaCuSnRh2)?
0.2937 eV per atom